[1]
This record from Alexandria describes a relaxed SrFeTe4 crystal. The functional is GGA-PBE.

a = 6.427 Å, b = 6.427 Å, c = 6.427 Å
α = 60.00°, β = 60.00°, γ = 60.00°
Element x y z (fractional)
Sr1 0.000 0.000 0.000
Fe1 0.250 0.250 0.250
Te1 0.127 0.624 0.624
Te2 0.624 0.127 0.624
Te3 0.624 0.624 0.127
Te4 0.624 0.624 0.624

Properties
M_tot = 3.76 μB/f.u.
formation energy from raw total energies = 0.308 eV/atom
final energy = -3.48 eV per atom

***

[2]
This record from Alexandria describes a relaxed ZnInAg2 crystal. The functional is GGA-PBE.

a = 5.111 Å, b = 5.111 Å, c = 5.111 Å
α = 131.16°, β = 131.16°, γ = 71.56°
Element x y z (fractional)
Zn1 0.000 0.000 0.000
In1 0.750 0.250 0.500
Ag1 0.250 0.750 0.500
Ag2 0.500 0.500 0.000

Properties
M_tot = 0.00 μB/f.u.
final energy = -2.41 eV per atom

***

[3]
This record from Alexandria describes a relaxed Ti3Al crystal. The functional is GGA-PBE.

a = 5.500 Å, b = 5.500 Å, c = 5.500 Å
α = 149.63°, β = 63.00°, γ = 126.24°
Element x y z (fractional)
Ti1 0.000 0.000 0.000
Ti2 0.418 0.661 0.757
Ti3 0.904 0.661 0.243
Al1 0.487 0.987 0.500

Properties
M_tot = 0.00 μB/f.u.
final energy = -7.05 eV per atom

***

[4]
This record from Alexandria describes a relaxed LiAsO crystal. The functional is GGA-PBE.

a = 4.886 Å, b = 4.886 Å, c = 6.344 Å
α = 102.77°, β = 102.77°, γ = 31.61°
Element x y z (fractional)
Li1 0.110 0.110 0.112
Li2 0.890 0.890 0.888
As1 0.133 0.133 0.635
As2 0.867 0.867 0.365
O1 0.432 0.432 0.156
O2 0.568 0.568 0.844

Properties
M_tot = 0.00 μB/f.u.
formation energy from raw total energies = -0.835 eV/atom
final energy = -4.68 eV per atom

***

[5]
This record from Alexandria describes a relaxed Tm4CoNi2 crystal. The functional is GGA-PBE.

a = 5.635 Å, b = 5.635 Å, c = 8.297 Å
α = 122.72°, β = 122.72°, γ = 42.70°
Element x y z (fractional)
Tm1 0.081 0.081 0.367
Tm2 0.313 0.313 0.906
Tm3 0.687 0.687 0.094
Tm4 0.919 0.919 0.633
Co1 0.000 0.000 0.000
Ni1 0.362 0.362 0.356
Ni2 0.638 0.638 0.644

Properties
M_tot = 0.00 μB/f.u.
final energy = -5.53 eV per atom

***

[6]
This record from Alexandria describes a relaxed CaTb2Ga6 crystal. The functional is GGA-PBE.

a = 7.342 Å, b = 7.342 Å, c = 4.204 Å
α = 90.00°, β = 90.00°, γ = 120.00°
Element x y z (fractional)
Ca1 0.000 0.000 0.000
Tb1 0.333 0.667 0.000
Tb2 0.667 0.333 0.000
Ga1 0.000 0.335 0.500
Ga2 0.000 0.665 0.500
Ga3 0.335 0.000 0.500
Ga4 0.335 0.335 0.500
Ga5 0.665 0.000 0.500
Ga6 0.665 0.665 0.500

Properties
offset from the most stable computed form = 0.0 meV/atom
M_tot = 0.00 μB/f.u.
final energy = -3.86 eV per atom